a.
Below is crystalline Ge3CS at its relaxed geometry, with properties calculated at the PBE level.

Structure (CIF):
```
data_Ge3CS
_cell_length_a 4.858
_cell_length_b 4.858
_cell_length_c 4.858
_cell_angle_alpha 90.00
_cell_angle_beta 90.00
_cell_angle_gamma 90.00
_symmetry_space_group_name_H-M 'P 1'
_symmetry_Int_Tables_number 1
loop_
_symmetry_equiv_pos_as_xyz
'x,y,z'
loop_
_atom_site_label
_atom_site_fract_x
_atom_site_fract_y
_atom_site_fract_z
C1 0.500 0.500 0.500
Ge1 0.000 0.500 0.000
Ge2 0.000 0.000 0.500
Ge3 0.500 0.000 0.000
S1 0.000 0.000 0.000
```

b.
Below is crystalline Ge3CS at its relaxed geometry, with properties calculated at the PBE level.

Structure (CIF):
```
data_Ge3CS
_cell_length_a 4.437
_cell_length_b 4.437
_cell_length_c 4.437
_cell_angle_alpha 90.00
_cell_angle_beta 90.00
_cell_angle_gamma 90.00
_symmetry_space_group_name_H-M 'P 1'
_symmetry_Int_Tables_number 1
loop_
_symmetry_equiv_pos_as_xyz
'x,y,z'
loop_
_atom_site_label
_atom_site_fract_x
_atom_site_fract_y
_atom_site_fract_z
C1 0.000 0.000 0.000
Ge1 0.000 0.500 0.000
Ge2 0.000 0.000 0.500
Ge3 0.500 0.000 0.000
S1 0.500 0.500 0.500
```

b (812 meV/atom below the next structure)

a.
Below is crystalline Ge2CS2 at its relaxed geometry, with properties calculated at the PBE level.

Structure (CIF):
```
data_Ge2CS2
_cell_length_a 5.104
_cell_length_b 5.104
_cell_length_c 4.967
_cell_angle_alpha 59.08
_cell_angle_beta 59.08
_cell_angle_gamma 90.00
_symmetry_space_group_name_H-M 'P 1'
_symmetry_Int_Tables_number 1
loop_
_symmetry_equiv_pos_as_xyz
'x,y,z'
loop_
_atom_site_label
_atom_site_fract_x
_atom_site_fract_y
_atom_site_fract_z
C1 0.000 0.000 0.000
Ge1 0.288 0.288 0.425
Ge2 0.712 0.712 0.575
S1 0.750 0.250 0.500
S2 0.250 0.750 0.500
```

b.
Below is crystalline Ge2CS2 at its relaxed geometry, with properties calculated at the PBE level.

Structure (CIF):
```
data_Ge2CS2
_cell_length_a 6.723
_cell_length_b 6.723
_cell_length_c 3.802
_cell_angle_alpha 90.00
_cell_angle_beta 90.00
_cell_angle_gamma 90.00
_symmetry_space_group_name_H-M 'P 1'
_symmetry_Int_Tables_number 1
loop_
_symmetry_equiv_pos_as_xyz
'x,y,z'
loop_
_atom_site_label
_atom_site_fract_x
_atom_site_fract_y
_atom_site_fract_z
C1 0.000 0.000 0.000
C2 0.500 0.500 0.000
Ge1 0.291 0.791 0.000
Ge2 0.791 0.709 0.000
Ge3 0.709 0.209 0.000
Ge4 0.209 0.291 0.000
S1 0.143 0.643 0.500
S2 0.643 0.857 0.500
S3 0.857 0.357 0.500
S4 0.357 0.143 0.500
```

a (172 meV/atom below the next structure)

a.
Below is crystalline Ge2CS at its relaxed geometry, with properties calculated at the PBE level.

Structure (CIF):
```
data_Ge2CS
_cell_length_a 5.744
_cell_length_b 5.744
_cell_length_c 5.701
_cell_angle_alpha 59.75
_cell_angle_beta 59.75
_cell_angle_gamma 90.00
_symmetry_space_group_name_H-M 'P 1'
_symmetry_Int_Tables_number 1
loop_
_symmetry_equiv_pos_as_xyz
'x,y,z'
loop_
_atom_site_label
_atom_site_fract_x
_atom_site_fract_y
_atom_site_fract_z
C1 0.500 0.500 0.000
C2 0.250 0.750 0.500
Ge1 0.557 0.125 0.250
Ge2 0.193 0.625 0.250
Ge3 0.375 0.443 0.750
Ge4 0.875 0.807 0.750
S1 0.000 0.000 0.000
S2 0.750 0.250 0.500
```

b.
Below is crystalline Ge2CS at its relaxed geometry, with properties calculated at the PBE level.

Structure (CIF):
```
data_Ge2CS
_cell_length_a 4.396
_cell_length_b 4.396
_cell_length_c 4.396
_cell_angle_alpha 60.00
_cell_angle_beta 60.00
_cell_angle_gamma 60.00
_symmetry_space_group_name_H-M 'P 1'
_symmetry_Int_Tables_number 1
loop_
_symmetry_equiv_pos_as_xyz
'x,y,z'
loop_
_atom_site_label
_atom_site_fract_x
_atom_site_fract_y
_atom_site_fract_z
C1 0.000 0.000 0.000
Ge1 0.250 0.250 0.250
Ge2 0.750 0.750 0.750
S1 0.500 0.500 0.500
```

a (786 meV/atom below the next structure)

a.
Below is crystalline GeSbC at its relaxed geometry, with properties calculated at the PBE level.

Structure (CIF):
```
data_GeSbC
_cell_length_a 3.495
_cell_length_b 4.219
_cell_length_c 8.433
_cell_angle_alpha 85.81
_cell_angle_beta 78.73
_cell_angle_gamma 65.60
_symmetry_space_group_name_H-M 'P 1'
_symmetry_Int_Tables_number 1
loop_
_symmetry_equiv_pos_as_xyz
'x,y,z'
loop_
_atom_site_label
_atom_site_fract_x
_atom_site_fract_y
_atom_site_fract_z
Sb1 0.751 0.293 0.254
Sb2 0.370 0.475 0.816
Ge1 0.902 0.699 0.512
Ge2 0.539 0.891 0.062
C1 0.246 0.908 0.623
C2 0.044 0.266 0.667
```

b.
Below is crystalline GeSbC at its relaxed geometry, with properties calculated at the PBE level.

Structure (CIF):
```
data_GeSbC
_cell_length_a 3.458
_cell_length_b 4.186
_cell_length_c 9.993
_cell_angle_alpha 83.62
_cell_angle_beta 80.21
_cell_angle_gamma 65.66
_symmetry_space_group_name_H-M 'P 1'
_symmetry_Int_Tables_number 1
loop_
_symmetry_equiv_pos_as_xyz
'x,y,z'
loop_
_atom_site_label
_atom_site_fract_x
_atom_site_fract_y
_atom_site_fract_z
Sb1 0.722 0.617 0.194
Sb2 0.292 0.123 0.538
Ge1 0.572 0.318 0.787
Ge2 0.487 0.232 0.046
C1 0.006 0.533 0.704
C2 0.838 0.906 0.665
```

b (13 meV/atom below the next structure)

a.
Below is crystalline GeSbC at its relaxed geometry, with properties calculated at the PBE level.

Structure (CIF):
```
data_GeSbC
_cell_length_a 3.257
_cell_length_b 3.257
_cell_length_c 17.996
_cell_angle_alpha 90.00
_cell_angle_beta 90.00
_cell_angle_gamma 120.00
_symmetry_space_group_name_H-M 'P 1'
_symmetry_Int_Tables_number 1
loop_
_symmetry_equiv_pos_as_xyz
'x,y,z'
loop_
_atom_site_label
_atom_site_fract_x
_atom_site_fract_y
_atom_site_fract_z
Sb1 0.000 0.000 0.720
Sb2 0.333 0.667 0.387
Sb3 0.667 0.333 0.054
Ge1 0.000 0.000 0.886
Ge2 0.333 0.667 0.552
Ge3 0.667 0.333 0.219
C1 0.000 0.000 0.587
C2 0.333 0.667 0.253
C3 0.667 0.333 0.920
```

b.
Below is crystalline GeSbC at its relaxed geometry, with properties calculated at the PBE level.

Structure (CIF):
```
data_GeSbC
_cell_length_a 3.352
_cell_length_b 5.209
_cell_length_c 8.332
_cell_angle_alpha 101.75
_cell_angle_beta 90.11
_cell_angle_gamma 90.00
_symmetry_space_group_name_H-M 'P 1'
_symmetry_Int_Tables_number 1
loop_
_symmetry_equiv_pos_as_xyz
'x,y,z'
loop_
_atom_site_label
_atom_site_fract_x
_atom_site_fract_y
_atom_site_fract_z
Sb1 0.530 0.587 0.032
Sb2 0.533 0.623 0.556
Ge1 0.531 0.981 0.859
Ge2 0.532 0.918 0.321
C1 0.032 0.124 0.383
C2 0.032 0.372 0.469
```

c.
Below is crystalline GeSbC at its relaxed geometry, with properties calculated at the PBE level.

Structure (CIF):
```
data_GeSbC
_cell_length_a 3.328
_cell_length_b 5.382
_cell_length_c 7.531
_cell_angle_alpha 96.91
_cell_angle_beta 99.91
_cell_angle_gamma 90.06
_symmetry_space_group_name_H-M 'P 1'
_symmetry_Int_Tables_number 1
loop_
_symmetry_equiv_pos_as_xyz
'x,y,z'
loop_
_atom_site_label
_atom_site_fract_x
_atom_site_fract_y
_atom_site_fract_z
Sb1 0.939 0.542 0.961
Sb2 0.788 0.410 0.559
Ge1 0.544 0.029 0.955
Ge2 0.686 0.979 0.294
C1 0.218 0.816 0.376
C2 0.256 0.620 0.474
```

a (21 meV/atom below the next structure)

a.
Below is crystalline GeSbC at its relaxed geometry, with properties calculated at the PBE level.

Structure (CIF):
```
data_GeSbC
_cell_length_a 4.182
_cell_length_b 4.751
_cell_length_c 6.061
_cell_angle_alpha 105.07
_cell_angle_beta 101.44
_cell_angle_gamma 96.70
_symmetry_space_group_name_H-M 'P 1'
_symmetry_Int_Tables_number 1
loop_
_symmetry_equiv_pos_as_xyz
'x,y,z'
loop_
_atom_site_label
_atom_site_fract_x
_atom_site_fract_y
_atom_site_fract_z
Sb1 0.924 0.208 0.206
Sb2 0.700 0.395 0.754
Ge1 0.113 0.883 0.521
Ge2 0.322 0.735 0.004
C1 0.365 0.603 0.317
C2 0.684 0.557 0.420
```

b.
Below is crystalline GeSbC at its relaxed geometry, with properties calculated at the PBE level.

Structure (CIF):
```
data_GeSbC
_cell_length_a 5.403
_cell_length_b 4.142
_cell_length_c 13.148
_cell_angle_alpha 90.00
_cell_angle_beta 90.00
_cell_angle_gamma 90.00
_symmetry_space_group_name_H-M 'P 1'
_symmetry_Int_Tables_number 1
loop_
_symmetry_equiv_pos_as_xyz
'x,y,z'
loop_
_atom_site_label
_atom_site_fract_x
_atom_site_fract_y
_atom_site_fract_z
Sb1 0.000 0.000 0.470
Sb2 0.000 0.500 0.970
Sb3 0.500 0.000 0.165
Sb4 0.500 0.500 0.665
Ge1 0.500 0.000 0.403
Ge2 0.500 0.500 0.903
Ge3 0.000 0.000 0.106
Ge4 0.000 0.500 0.606
C1 0.500 0.841 0.793
C2 0.500 0.159 0.793
C3 0.500 0.341 0.293
C4 0.500 0.659 0.293
```

c.
Below is crystalline GeSbC at its relaxed geometry, with properties calculated at the PBE level.

Structure (CIF):
```
data_GeSbC
_cell_length_a 4.135
_cell_length_b 4.775
_cell_length_c 7.409
_cell_angle_alpha 90.37
_cell_angle_beta 106.17
_cell_angle_gamma 89.91
_symmetry_space_group_name_H-M 'P 1'
_symmetry_Int_Tables_number 1
loop_
_symmetry_equiv_pos_as_xyz
'x,y,z'
loop_
_atom_site_label
_atom_site_fract_x
_atom_site_fract_y
_atom_site_fract_z
Sb1 0.288 0.481 0.166
Sb2 0.595 0.104 0.777
Ge1 0.476 0.561 0.537
Ge2 0.788 0.085 0.164
C1 0.190 0.811 0.645
C2 0.868 0.810 0.645
```

b (17 meV/atom below the next structure)